First-principles (PBE) data for a geometry-optimized PuU2PaN5 structure, as listed in Alexandria via LeMat-Bulk.

abc: 6.3019 6.5438 6.5438
angles: 90.00 90.00 90.00
Last column: nearest neighbours and their distance in Å.
Element x y z (fractional)
Pu  0.0000  0.5000  0.5000  10 N 2.92-3.15, 4 Pa 3.27
Pu  0.0000  0.0000  0.0000  10 N 2.92-3.15, 4 Pa 3.27
U  0.5000  0.6722  0.1722  4 N 2.20-2.42
U  0.5000  0.1722  0.3278  4 N 2.20-2.42
U  0.5000  0.8278  0.6722  4 N 2.20-2.42
U  0.5000  0.3278  0.8278  4 N 2.20-2.42
Pa  0.0000  0.0000  0.5000  4 N 2.18
Pa  0.0000  0.5000  0.0000  4 N 2.18
N  0.5000  0.5000  0.5000  4 U 2.42
N  0.5000  0.0000  0.0000  4 U 2.42
N  0.2520  0.1611  0.6611  1 Pa 2.18, 1 U 2.20
N  0.2520  0.8389  0.3389  1 Pa 2.18, 1 U 2.20
N  0.2520  0.3389  0.1611  1 Pa 2.18, 1 U 2.20
N  0.2520  0.6611  0.8389  1 Pa 2.18, 1 U 2.20
N  0.7480  0.1611  0.6611  1 Pa 2.18, 1 U 2.20
N  0.7480  0.6611  0.8389  1 Pa 2.18, 1 U 2.20
N  0.7480  0.8389  0.3389  1 Pa 2.18, 1 U 2.20
N  0.7480  0.3389  0.1611  1 Pa 2.18, 1 U 2.20

Total magnetization = 9.76 μB/f.u.
Fermi-level density of states = 1.562 states/eV per atom
VASP energy = -10.741 eV/atom
ρ = 12.567 Mg/m³
Volume = 14.992 A^3/atom
Energy relative to the elements, uncorrected = -960 meV per atom

***

First-principles (PBE) data for a geometry-optimized CsNb2Pb2 structure, as listed in Alexandria via LeMat-Bulk.

abc: 9.3203 9.3203 3.1393
angles: 90.00 90.00 90.00
Last column: nearest neighbours and their distance in Å.
Element x y z (fractional)
Pb  0.1767  0.6767  0.5000  6 Nb 3.11-3.33, 2 Pb 3.14
Pb  0.6767  0.8233  0.5000  6 Nb 3.11-3.33, 2 Pb 3.14
Pb  0.8233  0.3233  0.5000  6 Nb 3.11-3.33, 2 Pb 3.14
Pb  0.3233  0.1767  0.5000  6 Nb 3.11-3.33, 2 Pb 3.14
Cs  0.0000  0.0000  0.0000  2 Cs 3.14
Cs  0.5000  0.5000  0.0000  2 Cs 3.14
Nb  0.3994  0.8994  0.0000  1 Nb 2.65
Nb  0.8994  0.6006  0.0000  1 Nb 2.65
Nb  0.6006  0.1006  0.0000  1 Nb 2.65
Nb  0.1006  0.3994  0.0000  1 Nb 2.65

Excess energy over the best structure of this formula in the dataset = 0 meV per atom
Total magnetization = 0.00 μB/f.u.
Fermi-level density of states = 0.668 states/eV per atom
VASP energy = -5.198 eV/atom
ρ = 8.928 Mg/m³
Volume = 27.270 A^3/atom
DFT formation energy = 484 meV per atom